1.
Computed, not measured: a geometry-optimized Ca2SnW2 structure at the GGA-PBE level of DFT.

It has space group P4/mbm (No. 127), with a = 7.087 Å, b = 7.087 Å, c = 4.943 Å, α = 90.00°, β = 90.00° and γ = 90.00°. Symmetry generates all atoms from Ca at (0.172, 0.328, 0.000), Sn at (0.000, 0.000, 0.500) and W at (0.118, 0.618, 0.500).

The total energy is -6.269 eV/atom. The value obtained for the theoretical density is 7580 kg/m³. The energy above the most stable polymorph in this dataset is 0 meV/atom. The volume is 248 Å³ per cell.

=====

2.
Computed, not measured: a geometry-optimized BaLa2Ag structure at the GGA-PBE level of DFT.

It has space group P4mm (No. 99), with a = 3.947 Å, b = 3.947 Å, c = 9.467 Å, α = 90.00°, β = 90.00° and γ = 90.00°. Symmetry generates all atoms from Ba at (0.000, 0.000, 0.000), La at (0.000, 0.000, 0.587), La at (0.500, 0.500, 0.337) and Ag at (0.500, 0.500, 0.762).

The total energy is -3.724 eV/atom. The value obtained for the theoretical density is 5887 kg/m³. The energy above the most stable polymorph in this dataset is 0 meV/atom. The volume is 148 Å³ per cell.

=====

3.
Computed, not measured: a geometry-optimized PrHoNiIr structure at the GGA-PBE level of DFT.

It has space group F-43m (No. 216), with a = 6.953 Å, b = 6.953 Å, c = 6.953 Å, α = 90.00°, β = 90.00° and γ = 90.00°. Symmetry generates all atoms from Pr at (0.000, 0.000, 0.000), Ho at (0.000, 0.000, 0.500), Ni at (0.250, 0.250, 0.750) and Ir at (0.250, 0.250, 0.250).

The total energy is -6.502 eV/atom. The value obtained for the theoretical density is 11001 kg/m³. The energy above the most stable polymorph in this dataset is 67 meV/atom. The volume is 336 Å³ per cell.

=====

4.
Computed, not measured: a geometry-optimized Nd6ZnCd2 structure at the GGA-PBE level of DFT.

It has space group P2_1/c (No. 14), with a = 6.478 Å, b = 8.701 Å, c = 11.095 Å, α = 90.00°, β = 116.94° and γ = 90.00°. Symmetry generates all atoms from Nd at (0.084, 0.060, 0.232), Nd at (0.173, 0.714, 0.063), Nd at (0.400, 0.158, 0.039), Zn at (0.500, 0.000, 0.500) and Cd at (0.335, 0.104, 0.728).

The total energy is -3.608 eV/atom. The value obtained for the theoretical density is 6884 kg/m³. The volume is 558 Å³ per cell.

=====

> What is the theoretical density in the first record?

7580 kg/m³

=====

What did the second record say?
Computed, not measured: a geometry-optimized BaLa2Ag structure at the GGA-PBE level of DFT.

It has space group P4mm (No. 99), with a = 3.947 Å, b = 3.947 Å, c = 9.467 Å, α = 90.00°, β = 90.00° and γ = 90.00°. Symmetry generates all atoms from Ba at (0.000, 0.000, 0.000), La at (0.000, 0.000, 0.587), La at (0.500, 0.500, 0.337) and Ag at (0.500, 0.500, 0.762).

The total energy is -3.724 eV/atom. The value obtained for the theoretical density is 5887 kg/m³. The energy above the most stable polymorph in this dataset is 0 meV/atom. The volume is 148 Å³ per cell.

=====

> Which formula does entry 4 have?

Nd6ZnCd2